Computed, not measured: an optimized crystal structure of NaMn2VMo at the GGA-PBE level of DFT.

Values from the calculation:
Crystal system: tetragonal
VASP energy: -29.0 eV/cell
Fermi-level density of states: 7.83 states/eV per cell

Cell lengths 4.406, 4.798, 4.406 Å; angles 90.00, 90.00, 90.00 degrees
Fractional coordinates of all 5 atoms:
Na1 0.000 0.000 0.000
Mo1 0.000 0.500 0.000
Mn1 0.000 0.000 0.500
Mn2 0.500 0.000 0.000
V1 0.500 0.500 0.500

Computed, not measured: an optimized crystal structure of NaMnZnMo2 at the GGA-PBE level of DFT.

Values from the calculation:
Crystal system: tetragonal
VASP energy: -21.9 eV/cell
Fermi-level density of states: 6.65 states/eV per cell

Cell lengths 4.653, 4.401, 4.653 Å; angles 90.00, 90.00, 90.00 degrees
Fractional coordinates of all 5 atoms:
Na1 0.000 0.000 0.000
Mo1 0.000 0.000 0.500
Mo2 0.500 0.000 0.000
Mn1 0.000 0.500 0.000
Zn1 0.500 0.500 0.500

Computed, not measured: an optimized crystal structure of Mn2NbMo at the GGA-PBE level of DFT.

Values from the calculation:
Crystal system: tetragonal
VASP energy: -73.9 eV/cell
Fermi-level density of states: 7.74 states/eV per cell

Cell lengths 6.811, 6.811, 5.505 Å; angles 51.78, 51.78, 90.00 degrees
Fractional coordinates of all 8 atoms:
Mo1 0.000 0.000 0.000
Mo2 0.750 0.250 0.500
Mn1 0.639 0.125 0.250
Mn2 0.111 0.625 0.250
Mn3 0.375 0.361 0.750
Mn4 0.875 0.889 0.750
Nb1 0.500 0.500 0.000
Nb2 0.250 0.750 0.500

Computed, not measured: an optimized crystal structure of Mn4Nb5Mo at the GGA-PBE level of DFT.

Values from the calculation:
Crystal system: tetragonal
VASP energy: -98.8 eV/cell
Fermi-level density of states: 7.59 states/eV per cell

Cell lengths 3.106, 3.106, 15.564 Å; angles 90.00, 90.00, 90.00 degrees
Fractional coordinates of all 10 atoms:
Mn1 0.000 0.000 0.207
Mn2 0.000 0.000 0.402
Mn3 0.000 0.000 0.598
Mn4 0.000 0.000 0.793
Nb1 0.500 0.500 0.106
Nb2 0.500 0.500 0.304
Nb3 0.500 0.500 0.500
Nb4 0.500 0.500 0.696
Nb5 0.500 0.500 0.894
Mo1 0.000 0.000 0.000

Values of calculated volume, in order: 93; 95; 124; 150, all in Å³/cell.